TbHf | GGA-PBE | optimized geometry

```
TbHf
1.0
3.3726 0.0000 0.0000
-1.6863 2.9207 0.0000
0.0000 0.0000 5.3569
Tb Hf
1 1
Cartesian
0.0000 0.0000 0.0000
0.0000 1.9472 2.6785
```

space-group type	P-6m2
ΔH_f (0 K)	169	meV/atom
crystal system	hexagonal

CsP2H2 | GGA-PBE | optimized geometry

```
CsP2H2
1.0
3.4408 0.0000 0.0000
-0.1884 5.2996 0.0000
-1.7131 -1.0147 5.5249
Cs P H
1 2 2
Cartesian
0.0000 0.0000 0.0000
0.0957 1.9441 3.2039
1.6388 2.6605 1.8328
-0.1179 0.5271 3.0202
1.0521 1.6501 4.3611
```

space-group type	P1
crystal system	triclinic
energy relative to the lowest polymorph listed for this composition	226	meV/atom

SrYBi2H | GGA-PBE | optimized geometry

```
SrYBi2H
1.0
6.0988 0.0000 0.0000
0.0000 6.0988 0.0000
0.0000 0.0000 6.1102
Sr Y Bi H
1 1 2 1
Cartesian
0.0000 0.0000 0.0000
0.0000 0.0000 3.0551
0.0000 3.0494 0.0000
3.0494 0.0000 0.0000
3.0494 3.0494 3.0551
```

E	-2.674	eV per atom
space-group type	P4/mmm
crystal system	tetragonal

Ac5Ge2Ir | GGA-PBE | optimized geometry

```
Ac5Ge2Ir
1.0
3.1275 -6.9477 0.0000
3.1275 6.9477 0.0000
0.0000 0.0000 14.9236
Ac Ge Ir
10 4 2
Cartesian
3.1275 6.2176 9.1924
3.1275 6.2176 13.1930
3.1275 3.0323 3.7309
3.1275 2.2806 8.7835
3.1275 2.2806 13.6019
3.1275 -2.2806 1.3217
3.1275 -2.2806 6.1401
3.1275 -3.0323 11.1927
3.1275 -6.2176 1.7306
3.1275 -6.2176 5.7312
3.1275 4.6062 0.9490
3.1275 4.6062 6.5128
3.1275 -4.6062 8.4108
3.1275 -4.6062 13.9746
3.1275 4.1118 11.1927
3.1275 -4.1118 3.7309
```

space-group type	Cmcm
ΔH_f (0 K)	-426	meV/atom
crystal system	orthorhombic

Sr2DyAlTe5 | GGA-PBE | optimized geometry

```
Sr2DyAlTe5
1.0
2.1949 -10.0457 0.0000
2.1949 10.0457 0.0000
0.0000 0.0000 13.8631
Sr Dy Al Te
4 2 2 10
Cartesian
2.1949 7.6337 6.9316
2.1949 7.5813 1.9710
2.1949 -7.5813 8.9025
2.1949 -7.6337 0.0000
2.1949 5.9192 11.6990
2.1949 -5.9192 4.7675
2.1949 1.2566 3.4369
2.1949 -1.2566 10.3685
2.1949 9.1348 11.9069
2.1949 4.1408 6.8677
2.1949 3.7769 2.5402
2.1949 2.9131 11.4079
2.1949 0.0003 1.1751
2.1949 -0.0003 8.1066
2.1949 -2.9131 4.4764
2.1949 -3.7769 9.4718
2.1949 -4.1408 13.7992
2.1949 -9.1348 4.9754
```

raw formation energy	-1.2868	eV/atom
space-group type	Cmc2_1
crystal system	orthorhombic

Number 1: total magnetization 0.0 μB/cell. Number 2: total magnetization 0.0 μB/cell. Number 3: total magnetization 1.0 μB/cell. Number 4: total magnetization 0.0 μB/cell. Number 5: total magnetization 0.0 μB/cell.